Density functional theory data (GGA-PBEsol) for InSiTc2 after structural relaxation.

Unit cell a=2.9944 b=2.9944 c=6.6396 alpha=90.00 beta=90.00 gamma=90.00
With the nearest neighbours (Å) after each atom.
Fractional positions:
In1 0.0000 0.0000 0.0000  8 Tc 2.90, 4 In 2.99
Si1 0.0000 0.0000 0.5000  8 Tc 2.50
Tc1 0.5000 0.5000 0.2995  4 Si 2.50, 1 Tc 2.66
Tc2 0.5000 0.5000 0.7005  4 Si 2.50, 1 Tc 2.66

Output
**Fermi-level density of states**: 0.730 states/eV per atom
**Formation energy from raw total energies**: -0.128 eV per atom
**Size of the total moment**: 0.00 μB per formula unit
**Offset from the most stable computed form**: 0.0 meV per atom

Density functional theory data (GGA-PBEsol) for CrAs2Cl after structural relaxation.

Unit cell a=3.1684 b=3.1684 c=22.6010 alpha=90.00 beta=90.00 gamma=120.00
With the nearest neighbours (Å) after each atom.
Fractional positions:
Cr1 0.0000 0.0000 0.0000  6 As 2.42
Cr2 0.3333 0.6667 0.6667  6 As 2.42
Cr3 0.6667 0.3333 0.3333  6 As 2.42
As1 0.0000 0.0000 0.2634  3 Cr 2.42
As2 0.0000 0.0000 0.7366  3 Cr 2.42
As3 0.3333 0.6667 0.4033  3 Cr 2.42
As4 0.3333 0.6667 0.9300  3 Cr 2.42
As5 0.6667 0.3333 0.0700  3 Cr 2.42
As6 0.6667 0.3333 0.5967  3 Cr 2.42
Cl1 0.0000 0.0000 0.5000  6 As 2.85, 6 Cl 3.17
Cl2 0.3333 0.6667 0.1667  6 As 2.85, 6 Cl 3.17
Cl3 0.6667 0.3333 0.8333  6 As 2.85, 6 Cl 3.17

Output
**Fermi-level density of states**: 0.504 states/eV per atom
**Formation energy from raw total energies**: -0.012 eV per atom
**Size of the total moment**: 0.00 μB per formula unit
**Offset from the most stable computed form**: 127.2 meV per atom

Density functional theory data (GGA-PBEsol) for YFe2TcPb after structural relaxation.

Unit cell a=4.5006 b=4.5006 c=5.1297 alpha=90.00 beta=90.00 gamma=90.00
With the nearest neighbours (Å) after each atom.
Fractional positions:
Y1 0.0000 0.0000 0.0000  4 Pb 3.18, 8 Fe 3.41
Fe1 0.0000 0.5000 0.5000  2 Tc 2.25
Fe2 0.5000 0.0000 0.5000  2 Tc 2.25
Tc1 0.5000 0.5000 0.5000  4 Fe 2.25
Pb1 0.5000 0.5000 0.0000  2 Tc 2.56

Output
**Fermi-level density of states**: 1.564 states/eV per atom
**E_form**: 826 meV per atom
**Size of the total moment**: 3.95 μB per formula unit

Density functional theory data (GGA-PBEsol) for SnRuPt3 after structural relaxation.

Unit cell a=4.7460 b=4.7460 c=4.7460 alpha=90.00 beta=90.00 gamma=90.00
With the nearest neighbours (Å) after each atom.
Fractional positions:
Sn1 0.0000 0.0000 0.0000  12 Pt 3.36
Ru1 0.5000 0.5000 0.5000  6 Pt 2.37
Pt1 0.0000 0.5000 0.5000  2 Ru 2.37
Pt2 0.5000 0.0000 0.5000  2 Ru 2.37
Pt3 0.5000 0.5000 0.0000  2 Ru 2.37

Output
**Fermi-level density of states**: 1.131 states/eV per atom
**E_form**: 1126 meV per atom
**Size of the total moment**: 0.00 μB per formula unit

Density functional theory data (GGA-PBEsol) for ReAs2Rh after structural relaxation.

Unit cell a=2.9733 b=3.8543 c=5.2024 alpha=90.00 beta=90.00 gamma=90.00
With the nearest neighbours (Å) after each atom.
Fractional positions:
Re1 0.0000 0.0000 0.0000  6 As 2.51-2.69
As1 0.0000 0.0000 0.4829  2 Re 2.51-2.69, 4 Rh 2.56
As2 0.5000 0.5000 0.8392  2 Rh 2.56-2.64, 4 Re 2.57
Rh1 0.5000 0.5000 0.3316  6 As 2.56-2.64

Output
**Fermi-level density of states**: 0.703 states/eV per atom
**E_form**: -1 meV per atom
**Size of the total moment**: 0.00 μB per formula unit
**Offset from the most stable computed form**: 0.0 meV per atom

Density functional theory data (GGA-PBEsol) for Hg2PbSe after structural relaxation.

Unit cell a=4.0917 b=4.0917 c=22.0679 alpha=90.00 beta=90.00 gamma=120.00
With the nearest neighbours (Å) after each atom.
Fractional positions:
Hg1 0.0000 0.0000 0.0000  3 Hg 2.93, 3 Pb 3.16
Hg2 0.0000 0.0000 0.2546  3 Hg 2.93, 3 Se 2.98
Hg3 0.3333 0.6667 0.6667  3 Hg 2.93, 3 Pb 3.16
Hg4 0.3333 0.6667 0.9213  3 Hg 2.93, 3 Se 2.98
Hg5 0.6667 0.3333 0.3333  3 Hg 2.93, 3 Pb 3.16
Hg6 0.6667 0.3333 0.5879  3 Hg 2.93, 3 Se 2.98
Pb1 0.0000 0.0000 0.7619  3 Se 2.91, 3 Hg 3.16
Pb2 0.3333 0.6667 0.4285  3 Se 2.91, 3 Hg 3.16
Pb3 0.6667 0.3333 0.0952  3 Se 2.91, 3 Hg 3.16
Se1 0.0000 0.0000 0.5053  3 Pb 2.91, 3 Hg 2.98
Se2 0.3333 0.6667 0.1720  3 Pb 2.91, 3 Hg 2.98
Se3 0.6667 0.3333 0.8387  3 Pb 2.91, 3 Hg 2.98

Output
**Fermi-level density of states**: 0.352 states/eV per atom
**Formation energy from raw total energies**: -0.145 eV per atom
**Size of the total moment**: 0.00 μB per formula unit

Copy entry 3 word for word.
Density functional theory data (GGA-PBEsol) for YFe2TcPb after structural relaxation.

Unit cell a=4.5006 b=4.5006 c=5.1297 alpha=90.00 beta=90.00 gamma=90.00
With the nearest neighbours (Å) after each atom.
Fractional positions:
Y1 0.0000 0.0000 0.0000  4 Pb 3.18, 8 Fe 3.41
Fe1 0.0000 0.5000 0.5000  2 Tc 2.25
Fe2 0.5000 0.0000 0.5000  2 Tc 2.25
Tc1 0.5000 0.5000 0.5000  4 Fe 2.25
Pb1 0.5000 0.5000 0.0000  2 Tc 2.56

Output
**Fermi-level density of states**: 1.564 states/eV per atom
**E_form**: 826 meV per atom
**Size of the total moment**: 3.95 μB per formula unit

Number 6 is which compound?
Hg2PbSe